Below is crystalline CuMoN2F at its relaxed geometry, with properties calculated at the PBE+U level.

## Properties
Fermi-level density of states (states/eV/f.u.): 2.160
VASP energy (Ha/atom): -0.1902

The structure in extended XYZ format:
```
5
Lattice="3.8516 0.0000 0.0000 0.0000 3.8516 0.0000 0.0000 0.0000 3.7238" Properties=species:S:1:pos:R:3 pbc="T T T"
Cu 0.0000 0.0000 0.0000
Mo 1.9258 1.9258 1.8619
N 0.0000 1.9258 0.0000
N 1.9258 0.0000 0.0000
F 0.0000 0.0000 1.8619
```